A relaxed LiYCoSn crystal. Source: the Open Quantum Materials Database, functional GGA-PBE.

- volume (Å³ per cell) = 75.32
- total magnetization (μB/cell) = 0.891
- final energy (eV per atom) = -4.992

Structure (CIF):
```
data_LiYCoSn
_cell_length_a 4.740
_cell_length_b 4.740
_cell_length_c 4.740
_cell_angle_alpha 60.00
_cell_angle_beta 60.00
_cell_angle_gamma 60.00
_symmetry_space_group_name_H-M 'P 1'
_symmetry_Int_Tables_number 1
loop_
_symmetry_equiv_pos_as_xyz
'x,y,z'
loop_
_atom_site_label
_atom_site_fract_x
_atom_site_fract_y
_atom_site_fract_z
Li1 0.000 0.000 0.000
Y1 0.250 0.250 0.250
Co1 0.750 0.750 0.750
Sn1 0.500 0.500 0.500
```

---

A relaxed As2Pd2O5 crystal. Source: the Open Quantum Materials Database, functional GGA-PBE.

- volume (Å³ per cell) = 101.53
- final energy (eV per atom) = -5.155

Structure (CIF):
```
data_As2Pd2O5
_cell_length_a 3.996
_cell_length_b 3.996
_cell_length_c 6.359
_cell_angle_alpha 90.00
_cell_angle_beta 90.00
_cell_angle_gamma 90.00
_symmetry_space_group_name_H-M 'P 1'
_symmetry_Int_Tables_number 1
loop_
_symmetry_equiv_pos_as_xyz
'x,y,z'
loop_
_atom_site_label
_atom_site_fract_x
_atom_site_fract_y
_atom_site_fract_z
As1 0.000 0.000 0.221
As2 0.000 0.000 0.779
Pd1 0.500 0.500 0.000
Pd2 0.500 0.500 0.500
O1 0.000 0.000 0.500
O2 0.000 0.500 0.221
O3 0.000 0.500 0.779
O4 0.500 0.000 0.221
O5 0.500 0.000 0.779
```

---

A relaxed GdMgZn crystal. Source: the Open Quantum Materials Database, functional GGA-PBE.

- volume (Å³ per cell) = 134.02
- total magnetization (μB/cell) = 0.005
- final energy (eV per atom) = -2.614

Structure (CIF):
```
data_GdMgZn
_cell_length_a 4.789
_cell_length_b 4.789
_cell_length_c 6.748
_cell_angle_alpha 90.00
_cell_angle_beta 90.00
_cell_angle_gamma 120.00
_symmetry_space_group_name_H-M 'P 1'
_symmetry_Int_Tables_number 1
loop_
_symmetry_equiv_pos_as_xyz
'x,y,z'
loop_
_atom_site_label
_atom_site_fract_x
_atom_site_fract_y
_atom_site_fract_z
Gd1 0.333 0.667 0.168
Gd2 0.667 0.333 0.832
Mg1 0.333 0.667 0.631
Mg2 0.667 0.333 0.369
Zn1 0.000 0.000 0.000
Zn2 0.000 0.000 0.500
```

---

A relaxed NbHgB2 crystal. Source: the Open Quantum Materials Database, functional GGA-PBE.

- volume (Å³ per cell) = 57.48
- total magnetization (μB/cell) = 1.079
- final energy (eV per atom) = -4.197

Structure (CIF):
```
data_NbHgB2
_cell_length_a 4.332
_cell_length_b 4.332
_cell_length_c 4.332
_cell_angle_alpha 60.00
_cell_angle_beta 60.00
_cell_angle_gamma 60.00
_symmetry_space_group_name_H-M 'P 1'
_symmetry_Int_Tables_number 1
loop_
_symmetry_equiv_pos_as_xyz
'x,y,z'
loop_
_atom_site_label
_atom_site_fract_x
_atom_site_fract_y
_atom_site_fract_z
Nb1 0.000 0.000 0.000
Hg1 0.250 0.250 0.250
B1 0.500 0.500 0.500
B2 0.750 0.750 0.750
```

---

A relaxed La8Nb7S22 crystal. Source: the Open Quantum Materials Database, functional GGA-PBE.

- volume (Å³ per cell) = 1555.65
- total magnetization (μB/cell) = 0.001
- final energy (eV per atom) = -7.195

Structure (CIF):
```
data_La8Nb7S22
_cell_length_a 16.341
_cell_length_b 16.341
_cell_length_c 5.826
_cell_angle_alpha 90.00
_cell_angle_beta 90.00
_cell_angle_gamma 90.72
_symmetry_space_group_name_H-M 'P 1'
_symmetry_Int_Tables_number 1
loop_
_symmetry_equiv_pos_as_xyz
'x,y,z'
loop_
_atom_site_label
_atom_site_fract_x
_atom_site_fract_y
_atom_site_fract_z
La1 0.016 0.139 0.000
La2 0.110 0.736 0.480
La3 0.139 0.016 0.500
La4 0.235 0.609 0.008
La5 0.264 0.890 0.980
La6 0.360 0.487 0.489
La7 0.391 0.765 0.508
La8 0.487 0.360 0.989
La9 0.513 0.640 0.989
La10 0.609 0.235 0.508
La11 0.640 0.513 0.489
La12 0.736 0.110 0.980
La13 0.765 0.391 0.008
La14 0.861 0.984 0.500
La15 0.890 0.264 0.480
La16 0.984 0.861 0.000
Nb1 0.000 0.500 0.567
Nb2 0.072 0.430 0.070
Nb3 0.145 0.357 0.568
Nb4 0.213 0.287 0.069
Nb5 0.287 0.213 0.569
Nb6 0.357 0.145 0.068
Nb7 0.430 0.072 0.570
Nb8 0.500 0.000 0.067
Nb9 0.570 0.928 0.570
Nb10 0.643 0.855 0.068
Nb11 0.713 0.787 0.569
Nb12 0.787 0.713 0.069
Nb13 0.855 0.643 0.568
Nb14 0.928 0.570 0.070
S1 0.006 0.360 0.740
S2 0.013 0.888 0.495
S3 0.069 0.572 0.236
S4 0.071 0.290 0.238
S5 0.112 0.987 0.995
S6 0.137 0.763 0.985
S7 0.140 0.497 0.736
S8 0.147 0.216 0.735
S9 0.213 0.428 0.235
S10 0.216 0.147 0.235
S11 0.237 0.863 0.485
S12 0.263 0.639 0.499
S13 0.285 0.352 0.739
S14 0.290 0.071 0.738
S15 0.352 0.285 0.239
S16 0.360 0.006 0.240
S17 0.361 0.737 0.999
S18 0.388 0.513 0.990
S19 0.428 0.213 0.735
S20 0.428 0.931 0.736
S21 0.487 0.612 0.490
S22 0.497 0.140 0.236
S23 0.503 0.860 0.236
S24 0.513 0.388 0.490
S25 0.572 0.069 0.736
S26 0.572 0.787 0.735
S27 0.612 0.487 0.990
S28 0.639 0.263 0.999
S29 0.640 0.994 0.240
S30 0.648 0.715 0.239
S31 0.710 0.929 0.738
S32 0.715 0.648 0.739
S33 0.737 0.361 0.499
S34 0.763 0.137 0.485
S35 0.784 0.853 0.235
S36 0.787 0.572 0.235
S37 0.853 0.784 0.735
S38 0.860 0.503 0.736
S39 0.863 0.237 0.985
S40 0.888 0.013 0.995
S41 0.929 0.710 0.238
S42 0.931 0.428 0.236
S43 0.987 0.112 0.495
S44 0.994 0.640 0.740
```

---

A relaxed La2Er2SiI5 crystal. Source: the Open Quantum Materials Database, functional GGA-PBE.

- volume (Å³ per cell) = 377.49
- total magnetization (μB/cell) = 0.007
- final energy (eV per atom) = -4.433

Structure (CIF):
```
data_La2Er2SiI5
_cell_length_a 9.938
_cell_length_b 9.938
_cell_length_c 9.295
_cell_angle_alpha 102.06
_cell_angle_beta 102.06
_cell_angle_gamma 24.89
_symmetry_space_group_name_H-M 'P 1'
_symmetry_Int_Tables_number 1
loop_
_symmetry_equiv_pos_as_xyz
'x,y,z'
loop_
_atom_site_label
_atom_site_fract_x
_atom_site_fract_y
_atom_site_fract_z
La1 0.001 0.001 0.285
La2 0.999 0.999 0.715
Er1 0.358 0.358 0.429
Er2 0.642 0.642 0.571
Si1 0.500 0.500 0.500
I1 0.171 0.171 0.816
I2 0.177 0.177 0.353
I3 0.500 0.500 0.000
I4 0.823 0.823 0.647
I5 0.829 0.829 0.184
```